# OsWAu, optimized geometry, DFT PBEsol
data_OsWAu
_chemical_formula_sum 'Os1 W1 Au1'
_cell_length_a 2.8078
_cell_length_b 3.9022
_cell_length_c 4.8257
_cell_angle_alpha 113.85
_cell_angle_beta 106.91
_cell_angle_gamma 90.00
_space_group_name_H-M_alt 'P 1'
_space_group_IT_number 1
_space_group_name_Hall 'P 1'
loop_
_atom_site_label
_atom_site_type_symbol
_atom_site_fract_x
_atom_site_fract_y
_atom_site_fract_z
W1 W 0.3267 0.3267 0.6534
Au1 Au 0.0006 0.0006 0.0012
Os1 Os 0.6727 0.6727 0.3453
# - energy above the lowest structure with this stoichiometry (meV/atom) = 0
# - total moment (μB per formula unit) = 0.000
# - DOS(E_F) (states/eV/atom) = 0.647
# - E (Ry/atom) = -0.714
# - space-group type = Imm2

# OsWAu2, optimized geometry, DFT PBEsol
data_OsWAu2
_chemical_formula_sum 'Os1 W1 Au2'
_cell_length_a 2.8550
_cell_length_b 3.8619
_cell_length_c 5.7185
_cell_angle_alpha 90.00
_cell_angle_beta 90.00
_cell_angle_gamma 90.00
_space_group_name_H-M_alt 'P 1'
_space_group_IT_number 1
_space_group_name_Hall 'P 1'
loop_
_atom_site_label
_atom_site_type_symbol
_atom_site_fract_x
_atom_site_fract_y
_atom_site_fract_z
Au1 Au 0.0000 0.0000 0.0001
Os1 Os 0.0000 0.0000 0.5223
W1 W 0.5000 0.5000 0.7279
Au2 Au 0.5000 0.5000 0.2497
# - energy above the lowest structure with this stoichiometry (meV/atom) = 63
# - total moment (μB per formula unit) = 0.000
# - DOS(E_F) (states/eV/atom) = 0.730
# - E (Ry/atom) = -0.601
# - space-group type = Pmm2

# Os3WAu, optimized geometry, DFT PBEsol
data_Os3WAu
_chemical_formula_sum 'Os3 W1 Au1'
_cell_length_a 4.6540
_cell_length_b 4.6540
_cell_length_c 4.6540
_cell_angle_alpha 90.00
_cell_angle_beta 90.00
_cell_angle_gamma 90.00
_space_group_name_H-M_alt 'P 1'
_space_group_IT_number 1
_space_group_name_Hall 'P 1'
loop_
_atom_site_label
_atom_site_type_symbol
_atom_site_fract_x
_atom_site_fract_y
_atom_site_fract_z
W1 W 0.0000 0.0000 0.0000
Au1 Au 0.5000 0.5000 0.5000
Os1 Os 0.0000 0.5000 0.0000
Os2 Os 0.5000 0.0000 0.0000
Os3 Os 0.0000 0.0000 0.5000
# - energy above the lowest structure with this stoichiometry (meV/atom) = 0
# - total moment (μB per formula unit) = 1.853
# - DOS(E_F) (states/eV/atom) = 1.140
# - E (Ry/atom) = -0.616
# - space-group type = Pm-3m

# OsWAu, optimized geometry, DFT PBEsol
data_OsWAu
_chemical_formula_sum 'Os1 W1 Au1'
_cell_length_a 2.7079
_cell_length_b 2.7079
_cell_length_c 7.2854
_cell_angle_alpha 96.14
_cell_angle_beta 96.14
_cell_angle_gamma 115.09
_space_group_name_H-M_alt 'P 1'
_space_group_IT_number 1
_space_group_name_Hall 'P 1'
loop_
_atom_site_label
_atom_site_type_symbol
_atom_site_fract_x
_atom_site_fract_y
_atom_site_fract_z
Os1 Os 0.3251 0.3251 0.6502
Au1 Au 0.0008 0.0008 0.0016
W1 W 0.6741 0.6741 0.3482
# - energy above the lowest structure with this stoichiometry (meV/atom) = 217
# - total moment (μB per formula unit) = 0.000
# - DOS(E_F) (states/eV/atom) = 0.885
# - E (Ry/atom) = -0.698
# - space-group type = Fmm2

# OsWAu2, optimized geometry, DFT PBEsol
data_OsWAu2
_chemical_formula_sum 'Os1 W1 Au2'
_cell_length_a 4.4830
_cell_length_b 4.4830
_cell_length_c 4.4830
_cell_angle_alpha 60.00
_cell_angle_beta 60.00
_cell_angle_gamma 60.00
_space_group_name_H-M_alt 'P 1'
_space_group_IT_number 1
_space_group_name_Hall 'P 1'
loop_
_atom_site_label
_atom_site_type_symbol
_atom_site_fract_x
_atom_site_fract_y
_atom_site_fract_z
Au1 Au 0.7500 0.7500 0.7500
W1 W 0.2500 0.2500 0.2500
Au2 Au 0.0000 0.0000 0.0000
Os1 Os 0.5000 0.5000 0.5000
# - energy above the lowest structure with this stoichiometry (meV/atom) = 410
# - total moment (μB per formula unit) = 0.001
# - DOS(E_F) (states/eV/atom) = 1.010
# - E (Ry/atom) = -0.575
# - space-group type = F-43m

# OsWAu2, optimized geometry, DFT PBEsol
data_OsWAu2
_chemical_formula_sum 'Os1 W1 Au2'
_cell_length_a 2.8200
_cell_length_b 2.8200
_cell_length_c 7.9952
_cell_angle_alpha 90.00
_cell_angle_beta 90.00
_cell_angle_gamma 90.00
_space_group_name_H-M_alt 'P 1'
_space_group_IT_number 1
_space_group_name_Hall 'P 1'
loop_
_atom_site_label
_atom_site_type_symbol
_atom_site_fract_x
_atom_site_fract_y
_atom_site_fract_z
Au1 Au 0.0000 0.0000 0.9903
W1 W 0.5000 0.5000 0.7330
Au2 Au 0.5000 0.5000 0.2593
Os1 Os 0.0000 0.0000 0.5175
# - energy above the lowest structure with this stoichiometry (meV/atom) = 0
# - total moment (μB per formula unit) = 0.000
# - DOS(E_F) (states/eV/atom) = 0.704
# - E (Ry/atom) = -0.606
# - space-group type = P4mm

# Os3WAu, optimized geometry, DFT PBEsol
data_Os3WAu
_chemical_formula_sum 'Os3 W1 Au1'
_cell_length_a 4.6513
_cell_length_b 4.6513
_cell_length_c 4.6513
_cell_angle_alpha 90.00
_cell_angle_beta 90.00
_cell_angle_gamma 90.00
_space_group_name_H-M_alt 'P 1'
_space_group_IT_number 1
_space_group_name_Hall 'P 1'
loop_
_atom_site_label
_atom_site_type_symbol
_atom_site_fract_x
_atom_site_fract_y
_atom_site_fract_z
Os1 Os 0.0000 0.0000 0.5000
Os2 Os 0.5000 0.0000 0.0000
Os3 Os 0.0000 0.5000 0.0000
W1 W 0.5000 0.5000 0.5000
Au1 Au 0.0000 0.0000 0.0000
# - energy above the lowest structure with this stoichiometry (meV/atom) = 931
# - total moment (μB per formula unit) = 1.193
# - DOS(E_F) (states/eV/atom) = 1.642
# - E (Ry/atom) = -0.548
# - space-group type = Pm-3m

# Os2WAu, optimized geometry, DFT PBEsol
data_Os2WAu
_chemical_formula_sum 'Os2 W1 Au1'
_cell_length_a 3.9521
_cell_length_b 3.9521
_cell_length_c 4.7307
_cell_angle_alpha 114.69
_cell_angle_beta 114.69
_cell_angle_gamma 90.00
_space_group_name_H-M_alt 'P 1'
_space_group_IT_number 1
_space_group_name_Hall 'P 1'
loop_
_atom_site_label
_atom_site_type_symbol
_atom_site_fract_x
_atom_site_fract_y
_atom_site_fract_z
Au1 Au 0.0000 0.0000 0.0000
Os1 Os 0.7500 0.2500 0.5000
Os2 Os 0.2500 0.7500 0.5000
W1 W 0.5000 0.5000 0.0000
# - energy above the lowest structure with this stoichiometry (meV/atom) = 50
# - total moment (μB per formula unit) = 0.000
# - DOS(E_F) (states/eV/atom) = 0.824
# - E (Ry/atom) = -0.751
# - space-group type = I4/mmm